Entry 1
A plane-wave DFT calculation with PBE was carried out for crystalline La6PrAl2 at its relaxed geometry.

Cell lengths 8.087, 8.087, 10.936 Å; angles 90.00, 90.00, 90.00 degrees
Space group P4_2/mnm (No. 136)
Unique sites:
La 0.195 0.195 0.000
La 0.240 0.240 0.321
Pr 0.000 0.000 0.500
Al 0.000 0.000 0.198

Values from the calculation:
**Total magnetic moment**: 0.00 μB per formula unit
**Density of states at the Fermi level**: 34.01 states/eV per cell

=====

Entry 2
A plane-wave DFT calculation with PBE was carried out for crystalline La6PrAl2 at its relaxed geometry.

Cell lengths 13.287, 3.882, 11.983 Å; angles 90.00, 107.78, 90.00 degrees
Space group C2/m (No. 12)
Unique sites:
La 0.029 0.000 0.329
La 0.181 0.500 0.877
La 0.191 0.500 0.596
Pr 0.000 0.000 0.000
Al 0.153 0.500 0.196

Values from the calculation:
**Total magnetic moment**: 0.00 μB per formula unit
**Density of states at the Fermi level**: 23.19 states/eV per cell

=====

It turns out entry 2 is the most stable, with the second structure 412 meV per atom higher.

=====

Entry 1
A plane-wave DFT calculation with PBE was carried out for crystalline La4PrAl at its relaxed geometry.

Cell lengths 11.328, 6.998, 11.247 Å; angles 90.00, 90.00, 90.00 degrees
Space group Cmcm (No. 63)
Unique sites:
La 0.000 0.237 0.011
La 0.240 0.338 0.750
Pr 0.000 0.463 0.250
Al 0.000 0.041 0.750

Values from the calculation:
**Total magnetic moment**: 0.00 μB per formula unit
**Density of states at the Fermi level**: 37.73 states/eV per cell

=====

Entry 2
A plane-wave DFT calculation with PBE was carried out for crystalline La4PrAl at its relaxed geometry.

Cell lengths 3.762, 3.762, 14.201 Å; angles 90.00, 90.00, 90.00 degrees
Space group P4/mmm (No. 123)
Unique sites:
La 0.000 0.000 0.133
La 0.500 0.500 0.317
Pr 0.000 0.000 0.500
Al 0.500 0.500 0.000

Values from the calculation:
**Total magnetic moment**: 0.00 μB per formula unit
**Density of states at the Fermi level**: 9.23 states/eV per cell

=====

It turns out entry 2 is the most stable, with the second structure 297 meV per atom higher.

=====

Entry 1
A plane-wave DFT calculation with PBE was carried out for crystalline LaPrSmAl at its relaxed geometry.

Cell lengths 7.846, 7.846, 7.846 Å; angles 90.00, 90.00, 90.00 degrees
Space group F-43m (No. 216)
Unique sites:
La 0.000 0.000 0.000
Pr 0.000 0.000 0.500
Sm 0.250 0.250 0.750
Al 0.250 0.250 0.250

Values from the calculation:
**Total magnetic moment**: 0.00 μB per formula unit
**Density of states at the Fermi level**: 27.82 states/eV per cell

=====

Entry 2
A plane-wave DFT calculation with PBE was carried out for crystalline LaPrSmAl at its relaxed geometry.

Cell lengths 6.353, 3.456, 11.775 Å; angles 90.00, 90.00, 90.00 degrees
Space group Amm2 (No. 38)
Unique sites:
La 0.000 0.000 0.000
Pr 0.000 0.000 0.269
Sm 0.500 0.000 0.011
Al 0.500 0.000 0.287

Values from the calculation:
**Total magnetic moment**: 0.00 μB per formula unit
**Density of states at the Fermi level**: 12.23 states/eV per cell

=====

It turns out entry 1 is the most stable, with the second structure 397 meV per atom higher.